1.
ZnRhCl2: relaxed, PBE.

Output
ΔE_f (raw) = 0.1107 eV/atom
D(E_F) = 0.768 states/eV per atom
excess energy over the best structure of this formula in the dataset = 0.471 eV/atom

Unit cell a=5.8572 b=5.8572 c=6.4835 alpha=63.15 beta=63.15 gamma=90.00
Fractional positions:
1 Zn 0.5000 0.5000 0.0000
2 Zn 0.2500 0.7500 0.5000
3 Rh 0.0000 0.0000 0.0000
4 Rh 0.7500 0.2500 0.5000
5 Cl 0.6091 0.1250 0.2500
6 Cl 0.1409 0.6250 0.2500
7 Cl 0.3750 0.3909 0.7500
8 Cl 0.8750 0.8591 0.7500

=====

2.
ZnRh2Cl: relaxed, PBE.

Output
ΔE_f (raw) = 0.4085 eV/atom
D(E_F) = 1.439 states/eV per atom
excess energy over the best structure of this formula in the dataset = 0.436 eV/atom

Unit cell a=4.3930 b=4.3930 c=4.3930 alpha=60.00 beta=60.00 gamma=60.00
Fractional positions:
1 Zn 0.5000 0.5000 0.5000
2 Rh 0.2500 0.2500 0.2500
3 Rh 0.7500 0.7500 0.7500
4 Cl 0.0000 0.0000 0.0000

=====

3.
ZnRh2Cl: relaxed, PBE.

Output
ΔE_f (raw) = 0.1928 eV/atom
D(E_F) = 0.913 states/eV per atom
excess energy over the best structure of this formula in the dataset = 0.221 eV/atom

Unit cell a=5.1919 b=5.1919 c=5.1919 alpha=148.52 beta=121.96 gamma=67.53
Fractional positions:
1 Cl 0.2500 0.7500 0.5000
2 Rh 0.0060 0.0060 0.0000
3 Rh 0.4940 0.4940 0.0000
4 Zn 0.7500 0.2500 0.5000

=====

4.
ZnRh2Cl: relaxed, PBE.

Output
ΔE_f (raw) = 0.1784 eV/atom
D(E_F) = 1.424 states/eV per atom
excess energy over the best structure of this formula in the dataset = 0.206 eV/atom

Unit cell a=2.9167 b=2.9167 c=8.3418 alpha=90.00 beta=90.00 gamma=120.88
Fractional positions:
1 Cl 0.5000 0.5000 0.7500
2 Rh 0.0000 0.0000 0.9981
3 Rh 0.0000 0.0000 0.5019
4 Zn 0.5000 0.5000 0.2500

=====

5.
Zn2RhCl: relaxed, PBE.

Output
ΔE_f (raw) = -0.0820 eV/atom
D(E_F) = 0.297 states/eV per atom
excess energy over the best structure of this formula in the dataset = 0.302 eV/atom

Unit cell a=4.6112 b=4.6112 c=3.0720 alpha=90.00 beta=90.00 gamma=107.40
Fractional positions:
1 Cl 0.5000 0.0000 0.5000
2 Rh 0.0000 0.5000 0.5000
3 Zn 0.0000 0.0000 0.0000
4 Zn 0.5000 0.5000 0.0000

=====

6.
Zn2RhCl: relaxed, PBE.

Output
ΔE_f (raw) = -0.2256 eV/atom
D(E_F) = 0.487 states/eV per atom
excess energy over the best structure of this formula in the dataset = 0.158 eV/atom

Unit cell a=7.8996 b=7.8996 c=7.8996 alpha=23.09 beta=23.09 gamma=23.09
Fractional positions:
1 Cl 0.2500 0.2500 0.2500
2 Rh 0.7500 0.7500 0.7500
3 Zn 0.0047 0.0047 0.0047
4 Zn 0.4953 0.4953 0.4953

=====

7.
ZnRhCl4: relaxed, PBE.

Output
ΔE_f (raw) = 0.9430 eV/atom
D(E_F) = 1.357 states/eV per atom

Unit cell a=5.8105 b=5.8105 c=5.8105 alpha=60.00 beta=60.00 gamma=60.00
Fractional positions:
1 Zn 0.0000 0.0000 0.0000
2 Rh 0.7500 0.7500 0.7500
3 Cl 0.8736 0.3755 0.3755
4 Cl 0.3755 0.3755 0.8736
5 Cl 0.3755 0.8736 0.3755
6 Cl 0.3755 0.3755 0.3755

=====

8.
Zn2RhCl: relaxed, PBE.

Output
ΔE_f (raw) = 0.0906 eV/atom
D(E_F) = 0.299 states/eV per atom
excess energy over the best structure of this formula in the dataset = 0.475 eV/atom

Unit cell a=5.1936 b=5.1936 c=5.1936 alpha=137.19 beta=137.19 gamma=62.14
Fractional positions:
1 Cl 0.5000 0.5000 0.0000
2 Rh 0.7500 0.2500 0.5000
3 Zn 0.0000 0.0000 0.0000
4 Zn 0.2500 0.7500 0.5000

=====

9.
Zn4RhCl: relaxed, PBE.

Output
ΔE_f (raw) = 0.1657 eV/atom
D(E_F) = 0.352 states/eV per atom

Unit cell a=5.1379 b=5.1379 c=5.1379 alpha=60.00 beta=60.00 gamma=60.00
Fractional positions:
1 Zn 0.8782 0.3739 0.3739
2 Zn 0.3739 0.3739 0.8782
3 Zn 0.3739 0.8782 0.3739
4 Zn 0.3739 0.3739 0.3739
5 Rh 0.0000 0.0000 0.0000
6 Cl 0.7500 0.7500 0.7500

=====

10.
ZrRhCl2: relaxed, PBE.

Output
ΔE_f (raw) = -0.8896 eV/atom
D(E_F) = 0.414 states/eV per atom
excess energy over the best structure of this formula in the dataset = 0.052 eV/atom

Unit cell a=7.0587 b=7.0587 c=4.2408 alpha=85.90 beta=85.90 gamma=27.93
Fractional positions:
1 Rh 0.2500 0.2500 0.2500
2 Zr 0.7500 0.7500 0.7500
3 Cl 0.1075 0.1075 0.9640
4 Cl 0.3925 0.3925 0.5360

=====

11.
ZrRhCl2: relaxed, PBE.

Output
ΔE_f (raw) = -0.4552 eV/atom
D(E_F) = 0.421 states/eV per atom
excess energy over the best structure of this formula in the dataset = 0.486 eV/atom

Unit cell a=4.1674 b=5.2292 c=4.1806 alpha=66.66 beta=89.48 gamma=113.26
Fractional positions:
1 Rh 0.0000 0.5000 0.5000
2 Zr 0.5000 0.5000 0.0000
3 Cl 0.0000 0.0000 0.0000
4 Cl 0.5000 0.0000 0.5000

=====

12.
ZrRhCl2: relaxed, PBE.

Output
ΔE_f (raw) = -0.3019 eV/atom
D(E_F) = 0.417 states/eV per atom
excess energy over the best structure of this formula in the dataset = 0.639 eV/atom

Unit cell a=5.0253 b=5.0253 c=5.0253 alpha=131.19 beta=131.19 gamma=71.51
Fractional positions:
1 Rh 0.5000 0.5000 0.0000
2 Zr 0.7500 0.2500 0.5000
3 Cl 0.0000 0.0000 0.0000
4 Cl 0.2500 0.7500 0.5000

=====

13.
ZrRhCl: relaxed, PBE.

Output
ΔE_f (raw) = -0.2886 eV/atom
D(E_F) = 0.205 states/eV per atom
excess energy over the best structure of this formula in the dataset = 0.475 eV/atom

Unit cell a=4.4586 b=4.4586 c=4.4586 alpha=60.00 beta=60.00 gamma=60.00
Fractional positions:
1 Cl 0.0000 0.0000 0.0000
2 Rh 0.5000 0.5000 0.5000
3 Zr 0.7500 0.7500 0.7500

=====

14.
ZrRhCl2: relaxed, PBE.

Output
ΔE_f (raw) = -0.7803 eV/atom
D(E_F) = 0.851 states/eV per atom
excess energy over the best structure of this formula in the dataset = 0.161 eV/atom

Unit cell a=8.6175 b=8.6175 c=8.6175 alpha=23.59 beta=23.59 gamma=23.59
Fractional positions:
1 Rh 0.5087 0.5087 0.5087
2 Zr 0.2401 0.2401 0.2401
3 Cl 0.9787 0.9787 0.9787
4 Cl 0.7725 0.7725 0.7725

=====

15.
ZrRhCl: relaxed, PBE.

Output
ΔE_f (raw) = -0.7635 eV/atom
D(E_F) = 0.115 states/eV per atom
excess energy over the best structure of this formula in the dataset = 0.000 eV/atom

Unit cell a=3.5382 b=3.5382 c=6.1892 alpha=90.00 beta=90.00 gamma=120.00
Fractional positions:
1 Cl 0.0000 0.0000 0.9524
2 Rh 0.6667 0.3333 0.4002
3 Zr 0.3333 0.6667 0.6475